No. 1
Crystalline Sr2Pr4C at its relaxed geometry. Source: Alexandria, functional PBE-GGA.

## Properties
Space group: I4/mmm, No. 139
Volume, Å³ per cell: 274

a b c (Å): 10.3834 10.3834 10.3834
angles (deg): 150.34 150.34 42.45
Last column: nearest neighbours and their distance in Å.
Fractional positions:
Sr (0.1723, 0.1723, 0.0000)  9 Pr 3.87-4.27
Sr (0.8277, 0.8277, 0.0000)  9 Pr 3.87-4.27
Pr (0.0000, 0.5000, 0.5000)  2 C 2.66
Pr (0.3757, 0.3757, 0.0000)  1 C 2.41
Pr (0.5000, 0.0000, 0.5000)  2 C 2.66
Pr (0.6243, 0.6243, 0.0000)  1 C 2.41
C (0.5000, 0.5000, 0.0000)  6 Pr 2.41-2.66



No. 2
Crystalline Pr2Al3AgPd4 at its relaxed geometry. Source: Alexandria, functional PBE-GGA.

## Properties
Space group: P-4m2, No. 115
Volume, Å³ per cell: 200

a b c (Å): 4.3460 4.3460 10.6043
angles (deg): 90.00 90.00 90.00
Last column: nearest neighbours and their distance in Å.
Fractional positions:
Pr (0.0000, 0.5000, 0.2486)  8 Pd 3.26-3.42, 6 Al 3.37-3.44, 2 Ag 3.44
Pr (0.5000, 0.0000, 0.7514)  8 Pd 3.26-3.42, 6 Al 3.37-3.44, 2 Ag 3.44
Al (0.0000, 0.5000, 0.8812)  5 Pd 2.46-2.51
Al (0.5000, 0.0000, 0.1188)  5 Pd 2.46-2.51
Al (0.5000, 0.5000, 0.5000)  4 Pd 2.69
Ag (0.0000, 0.0000, 0.5000)  4 Pd 2.69
Pd (0.0000, 0.0000, 0.0000)  4 Al 2.51
Pd (0.0000, 0.5000, 0.6487)  3 Al 2.46-2.69, 2 Ag 2.69
Pd (0.5000, 0.0000, 0.3513)  3 Al 2.46-2.69, 2 Ag 2.69
Pd (0.5000, 0.5000, 0.0000)  4 Al 2.51



Asked for DOS at the Fermi energy across the records above, the calculation gives 12.2; 5.1 states/eV/f.u. in order.
Asked for ΔE_f across the records above, the calculation gives 0.178; -0.734 eV per atom in order.